Material: Na5B9C
Method: DFT, PBE
State: optimized geometry

Values from the calculation:
Energy relative to the elements: 0.28 eV per atom
Excess energy over the best structure of this formula in the dataset: 0.0385 eV/atom

Unit cell a=2.986 b=2.986 c=43.084 alpha=90.00 beta=90.00 gamma=120.00
Sites, in units of the cell vectors:
Na (0.000, 0.000, 0.000)
Na (0.000, 0.000, 0.101)
Na (0.000, 0.000, 0.201)
Na (0.000, 0.000, 0.299)
Na (0.000, 0.000, 0.399)
Na (0.000, 0.000, 0.500)
Na (0.000, 0.000, 0.601)
Na (0.000, 0.000, 0.701)
Na (0.000, 0.000, 0.799)
Na (0.000, 0.000, 0.899)
B (0.333, 0.667, 0.050)
B (0.333, 0.667, 0.151)
B (0.333, 0.667, 0.250)
B (0.333, 0.667, 0.349)
B (0.333, 0.667, 0.450)
B (0.333, 0.667, 0.550)
B (0.333, 0.667, 0.651)
B (0.333, 0.667, 0.849)
B (0.333, 0.667, 0.950)
B (0.667, 0.333, 0.050)
B (0.667, 0.333, 0.151)
B (0.667, 0.333, 0.349)
B (0.667, 0.333, 0.450)
B (0.667, 0.333, 0.550)
B (0.667, 0.333, 0.651)
B (0.667, 0.333, 0.750)
B (0.667, 0.333, 0.849)
B (0.667, 0.333, 0.950)
C (0.333, 0.667, 0.750)
C (0.667, 0.333, 0.250)